A plane-wave DFT calculation with PBE was carried out for a geometry-optimized TiInBC2 structure.

abc: 3.631 4.807 3.631
angles: 90.00 90.00 90.00
Sites, in units of the cell vectors:
C: 0.000 0.000 0.500
C: 0.500 0.000 0.000
Ti: 0.500 0.500 0.500
B: 0.000 0.000 0.000
In: 0.000 0.500 0.000

Calculated formation energy = 1.952 eV per atom
Mass density = 5.17 g cm⁻³



A plane-wave DFT calculation with PBE was carried out for a geometry-optimized ZnInBC2 structure.

abc: 4.376 4.526 4.376
angles: 90.00 90.00 90.00
Sites, in units of the cell vectors:
Zn: 0.500 0.500 0.500
B: 0.000 0.500 0.000
C: 0.000 0.000 0.500
C: 0.500 0.000 0.000
In: 0.000 0.000 0.000

Calculated formation energy = 2.854 eV per atom
Mass density = 4.12 g cm⁻³



A plane-wave DFT calculation with PBE was carried out for a geometry-optimized BIrC2 structure.

abc: 4.583 2.753 7.296
angles: 90.00 126.79 90.00
Sites, in units of the cell vectors:
C: 0.169 0.000 0.201
C: 0.169 0.500 0.701
C: 0.515 0.000 0.431
C: 0.515 0.500 0.931
Ir: 0.645 0.000 0.184
Ir: 0.645 0.500 0.684
B: 0.969 0.000 0.581
B: 0.969 0.500 0.081

Calculated formation energy = 0.511 eV per atom
Mass density = 10.23 g cm⁻³